Below is a geometry-optimized PmMgScAg structure, with properties calculated at the PBE-GGA level.

```
PmMgScAg
1.0
5.1738 0.0000 0.0000
2.5869 4.4806 0.0000
2.5869 1.4935 4.2244
Pm Sc Ag Mg
1 1 1 1
direct
0.0000 0.0000 0.0000 Pm
0.5000 0.5000 0.5000 Sc
0.2500 0.2500 0.2500 Ag
0.7500 0.7500 0.7500 Mg
```

## Properties
- polymorph energy (0 for the lowest one) (eV per atom) = 0.045
- density of states at the Fermi level (states/eV per cell) = 5.0
- symmetry = F-43m
- electronic total energy (eV/atom) = -3.99



Below is a geometry-optimized PmMg2Ag2Sn2 structure, with properties calculated at the PBE-GGA level.

```
PmMg2Ag2Sn2
1.0
4.6754 0.0000 0.0000
2.3377 4.0490 0.0000
2.3377 1.3497 8.4239
Pm Sn Mg Ag
1 2 2 2
direct
0.0000 0.0000 0.0000 Pm
0.2634 0.2634 0.2099 Sn
0.7366 0.7366 0.7901 Sn
0.1385 0.1385 0.5845 Mg
0.8615 0.8615 0.4155 Mg
0.5596 0.5596 0.3213 Ag
0.4404 0.4404 0.6787 Ag
```

## Properties
- density of states at the Fermi level (states/eV per cell) = 2.2
- symmetry = R-3m
- electronic total energy (eV/atom) = -3.46



Below is a geometry-optimized TbPmMgAg structure, with properties calculated at the PBE-GGA level.

```
TbPmMgAg
1.0
-3.0170 -2.6541 -3.4823
-2.9806 -4.0872 1.6380
-5.2937 0.4695 0.1690
Pm Tb Mg Ag
1 1 1 1
direct
0.5000 0.5000 0.5000 Pm
0.0000 0.0000 0.0000 Tb
0.7500 0.7500 0.7500 Mg
0.2500 0.2500 0.2500 Ag
```

## Properties
- polymorph energy (0 for the lowest one) (eV per atom) = 0.046
- density of states at the Fermi level (states/eV per cell) = 4.5
- symmetry = F-43m
- electronic total energy (eV/atom) = -3.60